No. 1
The following is a PBE calculation of an optimized crystal structure of Tm2Si7Rh12, from the Alexandria database.

Output
Space group ... No. 147
Uncorrected formation energy ... -0.966 eV per atom
DOS(E_F) ... 8.98 states/eV/f.u.

The structure in POSCAR format:
```
Tm2Si7Rh12
1.0
3.837 0.000 0.000
0.000 8.419 -4.861
0.000 0.000 9.721
Tm Si Rh
2 7 12
direct
0.250 0.333 0.667 Tm
0.750 0.667 0.333 Tm
0.500 0.000 0.000 Si
0.249 0.888 0.290 Si
0.249 0.401 0.112 Si
0.249 0.710 0.599 Si
0.751 0.112 0.710 Si
0.751 0.599 0.888 Si
0.751 0.290 0.401 Si
0.248 0.619 0.064 Rh
0.248 0.445 0.381 Rh
0.248 0.936 0.555 Rh
0.752 0.381 0.936 Rh
0.752 0.555 0.619 Rh
0.752 0.064 0.445 Rh
0.255 0.119 0.263 Rh
0.255 0.144 0.881 Rh
0.255 0.737 0.856 Rh
0.745 0.881 0.737 Rh
0.745 0.856 0.119 Rh
0.745 0.263 0.144 Rh
```

---

No. 2
The following is a PBE calculation of an optimized crystal structure of Tm2SiRh, from the Alexandria database.

Output
Space group ... No. 11
Uncorrected formation energy ... -0.861 eV per atom
DOS(E_F) ... 2.64 states/eV/f.u.

The structure in POSCAR format:
```
Tm2SiRh
1.0
4.102 0.000 0.000
0.000 5.604 -0.063
0.000 -2.879 7.390
Tm Si Rh
4 2 2
direct
0.750 0.213 0.436 Tm
0.250 0.787 0.564 Tm
0.250 0.780 0.084 Tm
0.750 0.220 0.916 Tm
0.250 0.344 0.208 Si
0.750 0.656 0.792 Si
0.750 0.632 0.284 Rh
0.250 0.368 0.716 Rh
```

---

No. 3
The following is a PBE calculation of an optimized crystal structure of TmSiRh2, from the Alexandria database.

Output
Space group ... No. 129
Uncorrected formation energy ... -0.917 eV per atom
DOS(E_F) ... 1.55 states/eV/f.u.

The structure in POSCAR format:
```
TmSiRh2
1.0
-3.293 1.368 1.583
-2.091 -2.060 -2.571
-0.156 -7.141 5.848
Tm Si Rh
2 2 4
direct
0.500 0.000 0.207 Tm
0.000 0.500 0.793 Tm
0.500 0.000 0.648 Si
0.000 0.500 0.352 Si
0.500 0.000 0.900 Rh
0.000 0.500 0.100 Rh
0.000 0.000 0.500 Rh
0.500 0.500 0.500 Rh
```

---

No. 4
The following is a PBE calculation of an optimized crystal structure of Tm4Si6Rh7, from the Alexandria database.

Output
Space group ... No. 229
Uncorrected formation energy ... -1.068 eV per atom
DOS(E_F) ... 9.94 states/eV/f.u.

The structure in POSCAR format:
```
Tm4Si6Rh7
1.0
6.714 0.000 -2.374
-3.357 5.814 -2.374
0.000 0.000 7.121
Tm Si Rh
4 6 7
direct
0.500 0.000 0.000 Tm
0.500 0.500 0.500 Tm
0.000 0.500 0.000 Tm
0.000 0.000 0.500 Tm
0.673 0.000 0.673 Si
0.673 0.673 0.000 Si
0.000 0.327 0.327 Si
0.327 0.000 0.327 Si
0.327 0.327 0.000 Si
0.000 0.673 0.673 Si
0.750 0.500 0.250 Rh
0.250 0.750 0.500 Rh
0.500 0.750 0.250 Rh
0.750 0.250 0.500 Rh
0.250 0.500 0.750 Rh
0.500 0.250 0.750 Rh
0.000 0.000 0.000 Rh
```

---

No. 5
The following is a PBE calculation of an optimized crystal structure of Tm3Si3Rh2, from the Alexandria database.

Output
Space group ... No. 63
Uncorrected formation energy ... -1.022 eV per atom
DOS(E_F) ... 3.87 states/eV/f.u.
Relative energy among the computed polymorphs ... 0.0000 eV per atom

The structure in POSCAR format:
```
Tm3Si3Rh2
1.0
-3.544 -0.214 -2.162
1.295 -4.973 2.366
-6.990 3.469 11.114
Tm Si Rh
6 6 4
direct
0.921 0.843 0.386 Tm
0.079 0.157 0.886 Tm
0.921 0.843 0.114 Tm
0.079 0.157 0.614 Tm
0.645 0.289 0.250 Tm
0.355 0.711 0.750 Tm
0.608 0.217 0.461 Si
0.392 0.783 0.961 Si
0.608 0.217 0.039 Si
0.392 0.783 0.539 Si
0.338 0.677 0.250 Si
0.662 0.323 0.750 Si
0.786 0.573 0.917 Rh
0.214 0.427 0.417 Rh
0.786 0.573 0.583 Rh
0.214 0.427 0.083 Rh
```

---

No. 6
The following is a PBE calculation of an optimized crystal structure of TmSiRh2, from the Alexandria database.

Output
Space group ... No. 123
Uncorrected formation energy ... -0.808 eV per atom
DOS(E_F) ... 1.46 states/eV/f.u.

The structure in POSCAR format:
```
TmSiRh2
1.0
-0.850 0.324 3.409
1.344 -3.972 0.712
3.903 1.470 0.833
Si Tm Rh
1 1 2
direct
0.500 0.500 0.500 Si
0.500 0.000 0.000 Tm
0.000 0.000 0.500 Rh
0.000 0.500 0.000 Rh
```

---

No. 7
The following is a PBE calculation of an optimized crystal structure of Tm3Si2Rh5, from the Alexandria database.

Output
Space group ... No. 127
Uncorrected formation energy ... -1.044 eV per atom
DOS(E_F) ... 4.07 states/eV/f.u.

The structure in POSCAR format:
```
Tm3Si2Rh5
1.0
-1.282 1.899 2.668
-9.184 -1.676 -3.221
-0.467 -8.142 5.570
Tm Si Rh
6 4 10
direct
0.000 0.326 0.826 Tm
0.000 0.674 0.174 Tm
0.000 0.174 0.326 Tm
0.000 0.826 0.674 Tm
0.000 0.000 0.000 Tm
0.000 0.500 0.500 Tm
0.000 0.124 0.624 Si
0.000 0.876 0.376 Si
0.000 0.376 0.124 Si
0.000 0.624 0.876 Si
0.500 0.220 0.070 Rh
0.500 0.780 0.930 Rh
0.500 0.930 0.220 Rh
0.500 0.070 0.780 Rh
0.500 0.280 0.570 Rh
0.500 0.720 0.430 Rh
0.500 0.570 0.720 Rh
0.500 0.430 0.280 Rh
0.500 0.000 0.500 Rh
0.500 0.500 0.000 Rh
```

---

No. 8
The following is a PBE calculation of an optimized crystal structure of Tm3Si3Rh, from the Alexandria database.

Output
Space group ... No. 12
Uncorrected formation energy ... -0.943 eV per atom
DOS(E_F) ... 3.60 states/eV/f.u.

The structure in POSCAR format:
```
Tm3Si3Rh
1.0
-3.058 2.658 1.038
-5.030 -1.832 -1.702
-3.370 -4.963 11.202
Tm Si Rh
6 6 2
direct
0.522 0.332 0.625 Tm
0.478 0.668 0.375 Tm
0.257 0.259 0.227 Tm
0.743 0.741 0.773 Tm
0.398 0.284 0.921 Tm
0.602 0.716 0.079 Tm
0.872 0.712 0.544 Si
0.128 0.288 0.456 Si
0.115 0.846 0.925 Si
0.885 0.154 0.075 Si
0.956 0.853 0.236 Si
0.044 0.147 0.764 Si
0.753 0.080 0.414 Rh
0.247 0.920 0.586 Rh
```

---

No. 9
The following is a PBE calculation of an optimized crystal structure of TmSiRh2, from the Alexandria database.

Output
Space group ... No. 69
Uncorrected formation energy ... -0.831 eV per atom
DOS(E_F) ... 1.55 states/eV/f.u.

The structure in POSCAR format:
```
TmSiRh2
1.0
5.028 0.198 -2.216
-2.033 4.603 -2.216
-0.088 -0.141 5.616
Tm Si Rh
2 2 4
direct
0.221 0.779 0.000 Tm
0.779 0.221 0.000 Tm
0.272 0.272 0.544 Si
0.728 0.728 0.456 Si
0.287 0.287 0.000 Rh
0.750 0.250 0.500 Rh
0.713 0.713 0.000 Rh
0.250 0.750 0.500 Rh
```

---

No. 10
The following is a PBE calculation of an optimized crystal structure of TmSi3Rh2, from the Alexandria database.

Output
Space group ... No. 63
Uncorrected formation energy ... -0.774 eV per atom
DOS(E_F) ... 1.69 states/eV/f.u.

The structure in POSCAR format:
```
TmSi3Rh2
1.0
-4.602 1.465 3.397
-1.001 -5.366 0.958
4.389 -0.114 3.948
Tm Si Rh
2 6 4
direct
0.663 0.750 0.663 Tm
0.337 0.250 0.337 Tm
0.558 0.250 0.846 Si
0.846 0.250 0.558 Si
0.442 0.750 0.154 Si
0.965 0.250 0.965 Si
0.035 0.750 0.035 Si
0.154 0.750 0.442 Si
0.217 0.500 0.783 Rh
0.217 0.000 0.783 Rh
0.783 0.000 0.217 Rh
0.783 0.500 0.217 Rh
```

---

No. 11
The following is a PBE calculation of an optimized crystal structure of Tm3Si2Rh2, from the Alexandria database.

Output
Space group ... No. 57
Uncorrected formation energy ... -0.980 eV per atom
DOS(E_F) ... 4.11 states/eV/f.u.

The structure in POSCAR format:
```
Tm3Si2Rh2
1.0
5.517 0.000 0.000
0.000 7.650 0.000
0.000 0.000 12.984
Tm Si Rh
12 8 8
direct
0.140 0.605 0.102 Tm
0.860 0.395 0.602 Tm
0.860 0.105 0.398 Tm
0.140 0.895 0.898 Tm
0.860 0.395 0.898 Tm
0.140 0.605 0.398 Tm
0.140 0.895 0.602 Tm
0.860 0.105 0.102 Tm
0.370 0.243 0.250 Tm
0.630 0.757 0.750 Tm
0.630 0.743 0.250 Tm
0.370 0.257 0.750 Tm
0.364 0.250 0.000 Si
0.636 0.750 0.500 Si
0.636 0.750 0.000 Si
0.364 0.250 0.500 Si
0.866 0.391 0.250 Si
0.134 0.609 0.750 Si
0.134 0.891 0.250 Si
0.866 0.109 0.750 Si
0.635 0.464 0.091 Rh
0.365 0.536 0.591 Rh
0.365 0.964 0.409 Rh
0.635 0.036 0.909 Rh
0.365 0.536 0.909 Rh
0.635 0.464 0.409 Rh
0.635 0.036 0.591 Rh
0.365 0.964 0.091 Rh
```

---

No. 12
The following is a PBE calculation of an optimized crystal structure of TmSi2Rh6, from the Alexandria database.

Output
Space group ... No. 227
Uncorrected formation energy ... -0.174 eV per atom
DOS(E_F) ... 9.11 states/eV/f.u.

The structure in POSCAR format:
```
TmSi2Rh6
1.0
7.682 0.000 0.000
3.841 6.653 0.000
3.841 2.218 6.272
Tm Si Rh
2 4 12
direct
0.500 0.500 0.500 Tm
0.750 0.750 0.750 Tm
0.125 0.125 0.125 Si
0.125 0.625 0.125 Si
0.125 0.125 0.625 Si
0.625 0.125 0.125 Si
0.250 0.250 0.750 Rh
0.750 0.750 0.250 Rh
0.250 0.750 0.250 Rh
0.250 0.750 0.750 Rh
0.500 0.500 0.000 Rh
0.500 0.000 0.000 Rh
0.750 0.250 0.750 Rh
0.000 0.000 0.500 Rh
0.500 0.000 0.500 Rh
0.000 0.500 0.500 Rh
0.750 0.250 0.250 Rh
0.000 0.500 0.000 Rh
```

---

No. 13
The following is a PBE calculation of an optimized crystal structure of Tm3Si2Rh6, from the Alexandria database.

Output
Space group ... No. 229
Uncorrected formation energy ... -0.841 eV per atom
DOS(E_F) ... 7.38 states/eV/f.u.

The structure in POSCAR format:
```
Tm3Si2Rh6
1.0
-6.434 2.828 -3.802
6.481 1.116 -4.539
-0.955 -7.808 1.406
Tm Si Rh
6 4 12
direct
0.706 0.000 0.706 Tm
0.294 0.000 0.294 Tm
0.000 0.294 0.294 Tm
0.000 0.706 0.706 Tm
0.294 0.294 0.000 Tm
0.706 0.706 0.000 Tm
0.000 0.500 0.000 Si
0.500 0.000 0.000 Si
0.000 0.000 0.500 Si
0.500 0.500 0.500 Si
0.687 0.373 0.687 Rh
0.687 0.000 0.313 Rh
0.313 0.000 0.687 Rh
0.313 0.627 0.313 Rh
0.000 0.687 0.313 Rh
0.627 0.313 0.313 Rh
0.373 0.687 0.687 Rh
0.000 0.313 0.687 Rh
0.313 0.687 0.000 Rh
0.687 0.687 0.373 Rh
0.313 0.313 0.627 Rh
0.687 0.313 0.000 Rh
```

---

No. 14
The following is a PBE calculation of an optimized crystal structure of TmSi7Rh3, from the Alexandria database.

Output
Space group ... No. 167
Uncorrected formation energy ... -0.686 eV per atom
DOS(E_F) ... 1.13 states/eV/f.u.

The structure in POSCAR format:
```
TmSi7Rh3
1.0
-6.517 -3.749 1.155
0.135 -7.353 1.943
-1.967 -1.999 7.460
Tm Si Rh
2 14 6
direct
0.500 0.500 0.500 Tm
0.000 0.000 0.000 Tm
0.672 0.066 0.411 Si
0.066 0.851 0.411 Si
0.851 0.672 0.411 Si
0.828 0.649 0.089 Si
0.434 0.828 0.089 Si
0.649 0.434 0.089 Si
0.328 0.934 0.589 Si
0.934 0.149 0.589 Si
0.149 0.328 0.589 Si
0.172 0.351 0.911 Si
0.566 0.172 0.911 Si
0.351 0.566 0.911 Si
0.750 0.750 0.750 Si
0.250 0.250 0.250 Si
0.429 0.071 0.750 Rh
0.071 0.750 0.750 Rh
0.750 0.429 0.750 Rh
0.571 0.929 0.250 Rh
0.929 0.250 0.250 Rh
0.250 0.571 0.250 Rh
```

---

No. 15
The following is a PBE calculation of an optimized crystal structure of TmSi2Rh3, from the Alexandria database.

Output
Space group ... No. 63
Uncorrected formation energy ... -0.850 eV per atom
DOS(E_F) ... 2.29 states/eV/f.u.

The structure in POSCAR format:
```
TmSi2Rh3
1.0
5.436 -0.022 -0.024
0.025 5.945 -0.067
0.025 -0.627 5.912
Tm Si Rh
2 4 6
direct
0.250 0.349 0.349 Tm
0.750 0.651 0.651 Tm
0.500 0.774 0.226 Si
0.000 0.774 0.226 Si
0.000 0.226 0.774 Si
0.500 0.226 0.774 Si
0.750 0.460 0.119 Rh
0.750 0.119 0.460 Rh
0.250 0.540 0.881 Rh
0.750 0.988 0.988 Rh
0.250 0.012 0.012 Rh
0.250 0.881 0.540 Rh
```

---

No. 16
The following is a PBE calculation of an optimized crystal structure of Tm2Si4Rh3, from the Alexandria database.

Output
Space group ... No. 69
Uncorrected formation energy ... -0.787 eV per atom
DOS(E_F) ... 5.56 states/eV/f.u.

The structure in POSCAR format:
```
Tm2Si4Rh3
1.0
5.446 -0.123 0.000
-2.640 4.764 0.000
-1.403 -2.320 5.903
Tm Si Rh
2 4 3
direct
0.635 0.635 0.270 Tm
0.365 0.365 0.730 Tm
0.016 0.663 0.679 Si
0.663 0.016 0.679 Si
0.984 0.337 0.321 Si
0.337 0.984 0.321 Si
0.500 0.000 0.000 Rh
0.000 0.000 0.000 Rh
0.000 0.500 0.000 Rh
```

---

No. 17
The following is a PBE calculation of an optimized crystal structure of TmSiRh4, from the Alexandria database.

Output
Space group ... No. 123
Uncorrected formation energy ... -0.371 eV per atom
DOS(E_F) ... 8.60 states/eV/f.u.

The structure in POSCAR format:
```
TmSiRh4
1.0
3.886 0.000 0.000
0.000 3.886 0.000
0.000 0.000 7.024
Tm Si Rh
1 1 4
direct
0.000 0.000 0.000 Tm
0.500 0.500 0.500 Si
0.500 0.000 0.706 Rh
0.000 0.500 0.706 Rh
0.500 0.000 0.294 Rh
0.000 0.500 0.294 Rh
```

---

No. 18
The following is a PBE calculation of an optimized crystal structure of Tm3Si2Rh, from the Alexandria database.

Output
Space group ... No. 62
Uncorrected formation energy ... -0.845 eV per atom
DOS(E_F) ... 4.05 states/eV/f.u.

The structure in POSCAR format:
```
Tm3Si2Rh
1.0
-2.580 0.325 3.217
-8.005 -4.690 -5.947
3.284 -10.262 3.672
Tm Si Rh
12 8 4
direct
0.250 0.375 0.054 Tm
0.750 0.625 0.946 Tm
0.750 0.875 0.446 Tm
0.250 0.125 0.554 Tm
0.250 0.700 0.218 Tm
0.750 0.300 0.782 Tm
0.750 0.200 0.282 Tm
0.250 0.800 0.718 Tm
0.250 0.443 0.378 Tm
0.750 0.557 0.622 Tm
0.750 0.943 0.122 Tm
0.250 0.057 0.878 Tm
0.250 0.688 0.486 Si
0.750 0.312 0.514 Si
0.750 0.188 0.014 Si
0.250 0.812 0.986 Si
0.250 0.000 0.309 Si
0.750 0.000 0.691 Si
0.750 0.500 0.191 Si
0.250 0.500 0.809 Si
0.250 0.132 0.130 Rh
0.750 0.868 0.870 Rh
0.750 0.632 0.370 Rh
0.250 0.368 0.630 Rh
```